First-principles (GGA-PBEsol) data for an optimized crystal structure of BeRhBrN2, as listed in Alexandria via LeMat-Bulk.

a b c (Å): 3.8637 3.8637 4.0751
angles (deg): 90.00 90.00 90.00
Element x y z (fractional)
Be 0.0000 0.0000 0.0000
Rh 0.5000 0.5000 0.0000
Br 0.0000 0.0000 0.5000
N 0.0000 0.5000 0.5000
N 0.5000 0.0000 0.5000

Calculated values
Total moment: 0.000 μB per atom
Raw formation energy: 217 kJ per mole of atoms
Crystal system: tetragonal